Record 1
A relaxed structure of RbCoAuSe3. Source: OQMD, functional PBE-GGA.

a = 8.547 Å, b = 8.547 Å, c = 10.040 Å
α = 90.00°, β = 90.00°, γ = 155.57°
Atoms (fractional coordinates):
1 Rb 0.231 0.769 0.750
2 Rb 0.769 0.231 0.250
3 Co 0.500 0.500 0.000
4 Co 0.500 0.500 0.500
5 Au 0.097 0.903 0.250
6 Au 0.903 0.097 0.750
7 Se 0.096 0.904 0.006
8 Se 0.096 0.904 0.494
9 Se 0.457 0.543 0.250
10 Se 0.543 0.457 0.750
11 Se 0.904 0.096 0.506
12 Se 0.904 0.096 0.994

Summary:
Volume in Å³/atom: 25.27
Electronic total energy in eV/cell: -46.88
Space group: No. 63



Record 2
A relaxed structure of RbCoTeAuSe2. Source: OQMD, functional PBE-GGA.

a = 8.837 Å, b = 8.837 Å, c = 10.361 Å
α = 90.00°, β = 90.00°, γ = 156.48°
Atoms (fractional coordinates):
1 Rb 0.234 0.766 0.750
2 Rb 0.766 0.234 0.250
3 Co 0.500 0.500 0.000
4 Co 0.500 0.500 0.500
5 Te 0.454 0.546 0.250
6 Te 0.546 0.454 0.750
7 Au 0.100 0.900 0.250
8 Au 0.900 0.100 0.750
9 Se 0.094 0.906 0.012
10 Se 0.094 0.906 0.488
11 Se 0.906 0.094 0.512
12 Se 0.906 0.094 0.988

Summary:
Volume in Å³/atom: 26.91
Electronic total energy in eV/cell: -46.55
Space group: No. 63



Record 3
A relaxed structure of RbCoTcAu. Source: OQMD, functional PBE-GGA.

a = 4.861 Å, b = 4.861 Å, c = 4.861 Å
α = 60.00°, β = 60.00°, γ = 60.00°
Atoms (fractional coordinates):
1 Rb 0.000 0.000 0.000
2 Co 0.250 0.250 0.250
3 Tc 0.500 0.500 0.500
4 Au 0.750 0.750 0.750

Summary:
Volume in Å³/atom: 20.30
Electronic total energy in eV/cell: -16.29
Space group: No. 216



Record 4
A relaxed structure of RbCoTcAu. Source: OQMD, functional PBE-GGA.

a = 4.775 Å, b = 4.775 Å, c = 4.775 Å
α = 60.00°, β = 60.00°, γ = 60.00°
Atoms (fractional coordinates):
1 Rb 0.000 0.000 0.000
2 Co 0.500 0.500 0.500
3 Tc 0.250 0.250 0.250
4 Au 0.750 0.750 0.750

Summary:
Volume in Å³/atom: 19.25
Electronic total energy in eV/cell: -15.92
Space group: No. 216



Record 5
A relaxed structure of RbCoTcAu. Source: OQMD, functional PBE-GGA.

a = 4.765 Å, b = 4.765 Å, c = 4.765 Å
α = 60.00°, β = 60.00°, γ = 60.00°
Atoms (fractional coordinates):
1 Rb 0.000 0.000 0.000
2 Co 0.750 0.750 0.750
3 Tc 0.250 0.250 0.250
4 Au 0.500 0.500 0.500

Summary:
Volume in Å³/atom: 19.12
Electronic total energy in eV/cell: -15.87
Space group: No. 216



Record 6
A relaxed structure of RbCoTe3Au. Source: OQMD, functional PBE-GGA.

a = 8.806 Å, b = 8.806 Å, c = 10.849 Å
α = 90.00°, β = 90.00°, γ = 154.70°
Atoms (fractional coordinates):
1 Rb 0.244 0.756 0.750
2 Rb 0.756 0.244 0.250
3 Co 0.500 0.500 0.000
4 Co 0.500 0.500 0.500
5 Te 0.100 0.900 0.008
6 Te 0.100 0.900 0.492
7 Te 0.455 0.545 0.250
8 Te 0.545 0.455 0.750
9 Te 0.900 0.100 0.508
10 Te 0.900 0.100 0.992
11 Au 0.089 0.911 0.250
12 Au 0.911 0.089 0.750

Summary:
Volume in Å³/atom: 29.96
Electronic total energy in eV/cell: -44.25
Space group: No. 63



Record 7
A relaxed structure of Co3AuS5. Source: OQMD, functional PBE-GGA.

a = 5.283 Å, b = 5.283 Å, c = 6.291 Å
α = 90.00°, β = 90.00°, γ = 120.00°
Atoms (fractional coordinates):
1 Co 0.000 0.500 0.000
2 Co 0.500 0.000 0.000
3 Co 0.500 0.500 0.000
4 Au 0.000 0.000 0.500
5 S 0.000 0.000 0.000
6 S 0.333 0.667 0.251
7 S 0.333 0.667 0.749
8 S 0.667 0.333 0.251
9 S 0.667 0.333 0.749

Summary:
Volume in Å³/atom: 16.89
Electronic total energy in eV/cell: -44.69
Space group: No. 191



Record 8
A relaxed structure of TlCoAuSeS2. Source: OQMD, functional PBE-GGA.

a = 7.665 Å, b = 7.665 Å, c = 9.871 Å
α = 90.00°, β = 90.00°, γ = 154.24°
Atoms (fractional coordinates):
1 Tl 0.208 0.792 0.750
2 Tl 0.792 0.208 0.250
3 Co 0.500 0.500 0.000
4 Co 0.500 0.500 0.500
5 Au 0.126 0.874 0.250
6 Au 0.874 0.126 0.750
7 Se 0.467 0.533 0.250
8 Se 0.533 0.467 0.750
9 S 0.100 0.900 0.014
10 S 0.100 0.900 0.486
11 S 0.900 0.100 0.514
12 S 0.900 0.100 0.986

Summary:
Volume in Å³/atom: 21.00
Electronic total energy in eV/cell: -50.66
Space group: No. 63



Record 9
A relaxed structure of TlCoAuS3. Source: OQMD, functional PBE-GGA.

a = 7.097 Å, b = 7.097 Å, c = 9.819 Å
α = 90.00°, β = 90.00°, γ = 151.44°
Atoms (fractional coordinates):
1 Tl 0.199 0.801 0.750
2 Tl 0.801 0.199 0.250
3 Co 0.500 0.500 0.000
4 Co 0.500 0.500 0.500
5 Au 0.130 0.870 0.250
6 Au 0.870 0.130 0.750
7 S 0.106 0.894 0.013
8 S 0.106 0.894 0.487
9 S 0.469 0.531 0.250
10 S 0.531 0.469 0.750
11 S 0.894 0.106 0.513
12 S 0.894 0.106 0.987

Summary:
Volume in Å³/atom: 19.70
Electronic total energy in eV/cell: -51.41
Space group: No. 63



Record 10
A relaxed structure of Co3Sb5Au. Source: OQMD, functional PBE-GGA.

a = 5.247 Å, b = 5.247 Å, c = 7.698 Å
α = 90.00°, β = 90.00°, γ = 120.00°
Atoms (fractional coordinates):
1 Co 0.000 0.500 0.000
2 Co 0.500 0.000 0.000
3 Co 0.500 0.500 0.000
4 Sb 0.000 0.000 0.000
5 Sb 0.333 0.667 0.280
6 Sb 0.333 0.667 0.720
7 Sb 0.667 0.333 0.280
8 Sb 0.667 0.333 0.720
9 Au 0.000 0.000 0.500

Summary:
Volume in Å³/atom: 20.39
Electronic total energy in eV/cell: -44.58
Space group: No. 191



Record 11
A relaxed structure of TaCoSbAu. Source: OQMD, functional PBE-GGA.

a = 4.625 Å, b = 4.625 Å, c = 4.625 Å
α = 60.00°, β = 60.00°, γ = 60.00°
Atoms (fractional coordinates):
1 Ta 0.000 0.000 0.000
2 Co 0.750 0.750 0.750
3 Sb 0.500 0.500 0.500
4 Au 0.250 0.250 0.250

Summary:
Volume in Å³/atom: 17.49
Electronic total energy in eV/cell: -24.86
Space group: No. 216



Record 12
A relaxed structure of TaCoSbAu. Source: OQMD, functional PBE-GGA.

a = 4.589 Å, b = 4.589 Å, c = 4.589 Å
α = 60.00°, β = 60.00°, γ = 60.00°
Atoms (fractional coordinates):
1 Ta 0.000 0.000 0.000
2 Co 0.500 0.500 0.500
3 Sb 0.250 0.250 0.250
4 Au 0.750 0.750 0.750

Summary:
Volume in Å³/atom: 17.09
Electronic total energy in eV/cell: -25.27
Space group: No. 216



Record 13
A relaxed structure of CoTcSbAu. Source: OQMD, functional PBE-GGA.

a = 4.487 Å, b = 4.487 Å, c = 4.487 Å
α = 60.00°, β = 60.00°, γ = 60.00°
Atoms (fractional coordinates):
1 Co 0.000 0.000 0.000
2 Tc 0.500 0.500 0.500
3 Sb 0.750 0.750 0.750
4 Au 0.250 0.250 0.250

Summary:
Volume in Å³/atom: 15.97
Electronic total energy in eV/cell: -23.67
Space group: No. 216



Record 14
A relaxed structure of TlCoSbAu. Source: OQMD, functional PBE-GGA.

a = 4.872 Å, b = 4.872 Å, c = 4.872 Å
α = 60.00°, β = 60.00°, γ = 60.00°
Atoms (fractional coordinates):
1 Tl 0.000 0.000 0.000
2 Co 0.250 0.250 0.250
3 Sb 0.500 0.500 0.500
4 Au 0.750 0.750 0.750

Summary:
Volume in Å³/atom: 20.44
Electronic total energy in eV/cell: -15.07
Space group: No. 216